No. 1
Na2CuPbO4 | the Alexandria database | PBE | optimized geometry; energy relative to the elements, uncorrected = -1023 meV per atom; symmetry = I-4 (82); V = 14.1 Å³ per atom
1.0
5.303 0.052 0.080
-2.212 4.820 -0.080
-2.212 -2.013 4.380
Na Cu Pb O
2 1 1 4
direct
0.500 0.750 0.250
0.000 0.000 0.000
0.000 0.500 0.500
0.500 0.250 0.750
0.546 0.315 0.381
0.066 0.231 0.685
0.934 0.619 0.165
0.454 0.835 0.769

---

No. 2
NaCuPdO2 | the Alexandria database | PBE | optimized geometry; energy relative to the elements, uncorrected = -544 meV per atom; symmetry = Cmme (67); V = 15.2 Å³ per atom
1.0
3.900 0.000 0.000
0.000 6.887 0.000
0.000 -3.444 5.660
Na Cu Pd O
2 2 2 4
direct
0.202 0.750 0.500
0.798 0.250 0.500
0.000 0.000 0.000
0.000 0.500 0.000
0.500 0.750 0.000
0.500 0.250 0.000
0.645 0.891 0.783
0.645 0.609 0.217
0.355 0.391 0.783
0.355 0.109 0.217

---

No. 3
Na2CuPd2O6 | the Alexandria database | PBE | optimized geometry; energy relative to the elements, uncorrected = -800 meV per atom; symmetry = C2/m (12); V = 12.4 Å³ per atom
1.0
-1.712 4.291 2.847
1.967 -4.454 2.396
4.935 2.172 -1.855
Na Cu Pd O
2 1 2 6
direct
0.840 0.160 0.000
0.160 0.840 0.000
0.000 0.000 0.500
0.335 0.665 0.500
0.665 0.335 0.500
0.738 0.738 0.682
0.053 0.413 0.698
0.262 0.262 0.318
0.413 0.053 0.698
0.947 0.587 0.302
0.587 0.947 0.302

---

No. 4
NaCuPdO4 | the Alexandria database | PBE | optimized geometry; energy relative to the elements, uncorrected = -693 meV per atom; symmetry = Imma (74); V = 12.2 Å³ per atom
1.0
6.058 0.000 0.000
-3.029 5.475 -0.326
0.000 -3.245 5.337
Na Cu Pd O
2 2 2 8
direct
0.861 0.722 0.111
0.139 0.278 0.889
0.500 0.500 0.500
0.000 0.500 0.500
0.500 0.000 0.500
0.500 0.000 0.000
0.724 0.449 0.681
0.299 0.029 0.264
0.729 0.029 0.264
0.724 0.449 0.267
0.276 0.551 0.733
0.701 0.971 0.736
0.271 0.971 0.736
0.276 0.551 0.319

---

No. 5
NaCu3Pd4O12 | the Alexandria database | PBE | optimized geometry; energy relative to the elements, uncorrected = -481 meV per atom; symmetry = Im-3 (204); V = 10.8 Å³ per atom
1.0
6.538 0.000 0.000
-2.179 6.164 0.000
-2.179 -3.082 5.338
Na Cu Pd O
1 3 4 12
direct
0.000 0.000 0.000
0.000 0.500 0.500
0.500 0.500 0.000
0.500 0.000 0.500
0.500 0.000 0.000
0.500 0.500 0.500
0.000 0.500 0.000
0.000 0.000 0.500
0.316 0.832 0.149
0.684 0.168 0.851
0.684 0.832 0.516
0.851 0.684 0.168
0.832 0.149 0.316
0.168 0.484 0.316
0.484 0.316 0.168
0.168 0.851 0.684
0.316 0.168 0.484
0.149 0.316 0.832
0.832 0.516 0.684
0.516 0.684 0.832

---

No. 6
Na3CuPd3O8 | the Alexandria database | PBE | optimized geometry; energy relative to the elements, uncorrected = -790 meV per atom; symmetry = C2/m (12); V = 12.8 Å³ per atom
1.0
5.999 0.000 0.000
-2.999 5.939 0.391
0.000 -3.529 5.145
Na Cu Pd O
3 1 3 8
direct
0.000 0.000 0.000
0.000 0.500 0.000
0.500 0.500 0.000
0.000 0.000 0.500
0.500 0.000 0.500
0.500 0.500 0.500
0.000 0.500 0.500
0.225 0.450 0.259
0.775 0.550 0.741
0.733 0.466 0.265
0.267 0.534 0.735
0.815 0.104 0.363
0.185 0.896 0.637
0.288 0.104 0.363
0.712 0.896 0.637

---

No. 7
Na4CuPd3O8 | the Alexandria database | PBE | optimized geometry; energy relative to the elements, uncorrected = -919 meV per atom; symmetry = C2/m (12); V = 12.1 Å³ per atom
1.0
6.068 0.000 0.000
0.000 6.104 -0.201
-3.034 -3.185 5.348
Na Cu Pd O
4 1 3 8
direct
0.500 0.000 0.000
0.500 0.000 0.500
0.000 0.000 0.000
0.000 0.000 0.500
0.000 0.500 0.000
0.500 0.500 0.000
0.500 0.500 0.500
0.000 0.500 0.500
0.188 0.633 0.888
0.280 0.752 0.560
0.217 0.246 0.433
0.700 0.633 0.888
0.300 0.367 0.112
0.783 0.754 0.567
0.720 0.248 0.440
0.812 0.367 0.112

---

No. 8
Na2PmCuO4 | the Alexandria database | PBE | optimized geometry; energy relative to the elements, uncorrected = -1742 meV per atom; symmetry = I-4 (82); V = 12.9 Å³ per atom
1.0
5.131 0.124 0.190
-2.074 4.695 -0.190
-2.074 -2.063 4.221
Na Pm Cu O
2 1 1 4
direct
0.500 0.750 0.250
0.000 0.000 0.000
0.500 0.250 0.750
0.000 0.500 0.500
0.545 0.267 0.309
0.042 0.278 0.733
0.958 0.691 0.236
0.455 0.764 0.722

---

No. 9
NaPmCuO3 | the Alexandria database | PBE | optimized geometry; energy relative to the elements, uncorrected = -1790 meV per atom; symmetry = P2_1/m (11); V = 14.8 Å³ per atom
1.0
3.372 0.000 0.000
0.000 7.212 1.143
0.000 -2.307 6.933
Na Pm Cu O
2 2 2 6
direct
0.250 0.618 0.160
0.750 0.382 0.840
0.250 0.179 0.186
0.750 0.821 0.814
0.250 0.119 0.608
0.750 0.881 0.392
0.750 0.919 0.137
0.250 0.081 0.863
0.250 0.823 0.506
0.750 0.177 0.494
0.750 0.376 0.155
0.250 0.624 0.845

---

No. 10
Na4Pm3CuO8 | the Alexandria database | PBE | optimized geometry; energy relative to the elements, uncorrected = -2159 meV per atom; symmetry = C2/m (12); V = 14.9 Å³ per atom
1.0
-1.755 -0.605 -6.433
6.337 -1.381 -1.599
-3.153 -4.218 4.741
Na Pm Cu O
4 3 1 8
direct
0.500 0.000 0.000
0.500 0.000 0.500
0.000 0.000 0.000
0.000 0.000 0.500
0.500 0.500 0.000
0.500 0.500 0.500
0.000 0.500 0.500
0.000 0.500 0.000
0.183 0.678 0.954
0.292 0.772 0.585
0.278 0.285 0.556
0.771 0.678 0.954
0.229 0.322 0.046
0.722 0.715 0.444
0.708 0.228 0.415
0.817 0.322 0.046

---

No. 11
NaPmCu2O4 | the Alexandria database | PBE | optimized geometry; energy relative to the elements, uncorrected = -1631 meV per atom; symmetry = P4/mmm (123); V = 12.4 Å³ per atom
1.0
3.891 0.000 0.000
0.000 3.891 0.000
0.000 0.000 6.531
Na Pm Cu O
1 1 2 4
direct
0.000 0.000 0.500
0.000 0.000 0.000
0.500 0.500 0.263
0.500 0.500 0.737
0.000 0.500 0.232
0.500 0.000 0.768
0.500 0.000 0.232
0.000 0.500 0.768

---

No. 12
NaPr2Cu2O6 | the Alexandria database | PBE | optimized geometry; energy relative to the elements, uncorrected = -1564 meV per atom; symmetry = R-3m (166); V = 15.2 Å³ per atom
1.0
-1.784 0.602 -5.396
-1.301 -4.614 -3.112
-6.641 -1.029 -0.946
Na Pr Cu O
1 2 2 6
direct
0.000 0.000 0.000
0.797 0.797 0.608
0.203 0.203 0.392
0.426 0.426 0.723
0.574 0.574 0.277
0.749 0.749 0.301
0.201 0.749 0.301
0.749 0.201 0.301
0.251 0.799 0.699
0.799 0.251 0.699
0.251 0.251 0.699

---

Which of these has the highest energy relative to the elements, uncorrected?
NaCu3Pd4O12